Te3MoF after structural relaxation. Source: the Alexandria database, functional PBE with a Hubbard U.

Calculated values
Calculated total energy = -16.64 eV per cell
Density of states at the Fermi level = 3.084 states/eV/cell
Crystal system = cubic
Space group = No. 221

```
Te3MoF
1.0
-1.501 4.256 2.153
-4.287 -0.215 -2.564
-2.090 -2.616 3.714
F Te Mo
1 3 1
Direct
0.000 0.000 0.000 F
0.000 0.000 0.500 Te
0.500 0.000 0.000 Te
0.000 0.500 0.000 Te
0.500 0.500 0.500 Mo
```